# 1
# GGA-PBE La2Er3In, relaxed
# Calculated formation energy = -131.6 meV per atom
# N(E_F) = 15.0 states/eV per cell
# V = 368.87 Å³ per cell
# Mass density = 8.053 g/cm³
data_La2Er3In
_cell_length_a 4.936
_cell_length_b 14.958
_cell_length_c 4.997
_cell_angle_alpha 90.00
_cell_angle_beta 90.00
_cell_angle_gamma 90.00
_symmetry_space_group_name_H-M 'C m m m'
_symmetry_Int_Tables_number 65
_symmetry_space_group_name_Hall '-C 2 2'
loop_
_atom_site_label
_atom_site_type_symbol
_atom_site_fract_x
_atom_site_fract_y
_atom_site_fract_z
_atom_site_occupancy
La1 La 0.000 0.167 0.000 1
Er1 Er 0.000 0.000 0.500 1
Er2 Er 0.000 0.339 0.500 1
In1 In 0.000 0.500 0.000 1

---

# 2
# GGA-PBE LaEr7In4, relaxed
# Calculated formation energy = -88.9 meV per atom
# N(E_F) = 24.7 states/eV per cell
# V = 707.95 Å³ per cell
# Mass density = 8.299 g/cm³
data_LaEr7In4
_cell_length_a 14.378
_cell_length_b 5.635
_cell_length_c 10.537
_cell_angle_alpha 90.00
_cell_angle_beta 123.97
_cell_angle_gamma 90.00
_symmetry_space_group_name_H-M 'C 1 2/m 1'
_symmetry_Int_Tables_number 12
loop_
_symmetry_equiv_pos_as_xyz
'x,y,z'
'-x,-y,-z'
'-x,y,-z'
'x,-y,z'
'x+1/2,y+1/2,z'
'-x+1/2,-y+1/2,-z'
'-x+1/2,y+1/2,-z'
'x+1/2,-y+1/2,z'
loop_
_atom_site_label
_atom_site_type_symbol
_atom_site_fract_x
_atom_site_fract_y
_atom_site_fract_z
_atom_site_occupancy
La1 La 0.000 0.000 0.000 1
Er1 Er 0.000 0.500 0.000 1
Er2 Er 0.063 0.000 0.396 1
Er3 Er 0.213 0.000 0.875 1
Er4 Er 0.213 0.500 0.651 1
In1 In 0.063 0.500 0.765 1
In2 In 0.182 0.500 0.332 1

---

# 3
# GGA-PBE LaEr2In4, relaxed
# Calculated formation energy = -295.6 meV per atom
# N(E_F) = 5.9 states/eV per cell
# V = 208.43 Å³ per cell
# Mass density = 7.431 g/cm³
data_LaEr2In4
_cell_length_a 5.217
_cell_length_b 5.217
_cell_length_c 7.659
_cell_angle_alpha 90.00
_cell_angle_beta 90.00
_cell_angle_gamma 90.00
_symmetry_space_group_name_H-M 'P 4/m m m'
_symmetry_Int_Tables_number 123
_symmetry_space_group_name_Hall '-P 4 2'
loop_
_atom_site_label
_atom_site_type_symbol
_atom_site_fract_x
_atom_site_fract_y
_atom_site_fract_z
_atom_site_occupancy
La1 La 0.000 0.000 0.000 1
Er1 Er 0.000 0.000 0.500 1
Er2 Er 0.500 0.500 0.000 1
In1 In 0.000 0.500 0.279 1